Record 1
Density functional theory data (GGA-PBEsol) for YIn2Re after structural relaxation. Values from VASP.

```
&SYSTEM
  ibrav = 0, nat = 8, ntyp = 3
/
ATOMIC_SPECIES
Y 88.91 Y.upf
In 114.82 In.upf
Re 186.21 Re.upf
ATOMIC_POSITIONS angstrom
Y 0.000 0.000 0.000
Y 4.819 1.826 0.000
In 1.083 0.000 3.357
In 2.101 1.826 1.395
In 5.902 1.826 3.357
In 6.920 0.000 1.395
Re -0.818 1.826 2.376
Re 4.002 0.000 2.376
CELL_PARAMETERS angstrom
9.638 0.000 0.000
0.000 3.652 0.000
-1.635 0.000 4.752
```

Summary:
**Total energy**: -6.46 eV/atom
**Total magnetization**: 0.00 μB per formula unit



Record 2
Density functional theory data (GGA-PBEsol) for Y2InRe after structural relaxation. Values from VASP.

```
&SYSTEM
  ibrav = 0, nat = 8, ntyp = 3
/
ATOMIC_SPECIES
Y 88.91 Y.upf
In 114.82 In.upf
Re 186.21 Re.upf
ATOMIC_POSITIONS angstrom
Y 0.000 0.000 0.000
Y 0.000 2.534 3.177
Y 1.783 0.000 3.177
Y 1.783 2.534 0.000
In 0.000 0.000 5.795
In 1.783 2.534 5.795
Re 0.000 2.534 7.892
Re 1.783 0.000 7.892
CELL_PARAMETERS angstrom
3.567 0.000 0.000
0.000 5.068 0.000
0.000 0.000 10.035
```

Summary:
**Total energy**: -7.13 eV/atom
**Total magnetization**: 0.00 μB per formula unit



Record 3
Density functional theory data (GGA-PBEsol) for YInRe2 after structural relaxation. Values from VASP.

```
&SYSTEM
  ibrav = 0, nat = 12, ntyp = 3
/
ATOMIC_SPECIES
Y 88.91 Y.upf
In 114.82 In.upf
Re 186.21 Re.upf
ATOMIC_POSITIONS angstrom
Y 0.000 0.000 0.000
Y 0.000 1.701 19.534
Y 1.473 0.850 9.767
In 0.000 0.000 22.355
In 0.000 1.701 12.587
In 1.473 0.850 2.820
Re 0.000 0.000 7.193
Re 0.000 0.000 14.977
Re 0.000 1.701 5.210
Re 0.000 1.701 26.727
Re 1.473 0.850 16.960
Re 1.473 0.850 24.744
CELL_PARAMETERS angstrom
2.945 0.000 0.000
-1.473 2.551 0.000
0.000 0.000 29.301
```

Summary:
**Total energy**: -8.75 eV/atom
**Total magnetization**: 0.00 μB per formula unit



Record 4
Density functional theory data (GGA-PBEsol) for YIn2Re after structural relaxation. Values from VASP.

```
&SYSTEM
  ibrav = 0, nat = 12, ntyp = 3
/
ATOMIC_SPECIES
Y 88.91 Y.upf
In 114.82 In.upf
Re 186.21 Re.upf
ATOMIC_POSITIONS angstrom
Y 0.000 0.000 0.000
Y 0.000 1.886 19.045
Y 1.634 0.943 9.522
In 0.000 0.000 6.735
In 0.000 0.000 13.674
In 0.000 1.886 4.152
In 0.000 1.886 25.779
In 1.634 0.943 16.257
In 1.634 0.943 23.197
Re 0.000 0.000 21.110
Re 0.000 1.886 11.588
Re 1.634 0.943 2.065
CELL_PARAMETERS angstrom
3.267 0.000 0.000
-1.634 2.829 0.000
0.000 0.000 28.567
```

Summary:
**Total energy**: -6.15 eV/atom
**Total magnetization**: 0.00 μB per formula unit



Record 5
Density functional theory data (GGA-PBEsol) for ZnInRe2 after structural relaxation. Values from VASP.

```
&SYSTEM
  ibrav = 0, nat = 8, ntyp = 3
/
ATOMIC_SPECIES
Zn 65.41 Zn.upf
In 114.82 In.upf
Re 186.21 Re.upf
ATOMIC_POSITIONS angstrom
Zn 0.000 0.000 0.000
Zn 1.523 2.253 4.525
In 0.000 0.000 4.525
In 1.523 2.253 0.000
Re 0.000 2.253 2.341
Re 0.000 2.253 6.709
Re 1.523 0.000 2.184
Re 1.523 0.000 6.866
CELL_PARAMETERS angstrom
3.046 0.000 0.000
0.000 4.505 0.000
0.000 0.000 9.050
```

Summary:
**Total energy**: -7.32 eV/atom
**Total magnetization**: 0.00 μB per formula unit



Record 6
Density functional theory data (GGA-PBEsol) for ZrInRe2 after structural relaxation. Values from VASP.

```
&SYSTEM
  ibrav = 0, nat = 8, ntyp = 3
/
ATOMIC_SPECIES
Zr 91.22 Zr.upf
In 114.82 In.upf
Re 186.21 Re.upf
ATOMIC_POSITIONS angstrom
Zr 0.000 0.000 0.000
Zr 1.653 2.292 4.535
In 0.000 0.000 4.535
In 1.653 2.292 0.000
Re 0.000 2.292 2.350
Re 0.000 2.292 6.721
Re 1.653 0.000 2.186
Re 1.653 0.000 6.885
CELL_PARAMETERS angstrom
3.306 0.000 0.000
0.000 4.585 0.000
0.000 0.000 9.071
```

Summary:
**Total energy**: -9.45 eV/atom
**Total magnetization**: 0.00 μB per formula unit



Record 7
Density functional theory data (GGA-PBEsol) for Zr2InRe after structural relaxation. Values from VASP.

```
&SYSTEM
  ibrav = 0, nat = 4, ntyp = 3
/
ATOMIC_SPECIES
Zr 91.22 Zr.upf
In 114.82 In.upf
Re 186.21 Re.upf
ATOMIC_POSITIONS angstrom
Zr 0.000 0.000 1.552
Zr 0.000 0.000 5.479
In 1.663 1.663 3.516
Re 1.663 1.663 0.000
CELL_PARAMETERS angstrom
3.327 0.000 0.000
0.000 3.327 0.000
0.000 0.000 7.031
```

Summary:
**Total energy**: -8.97 eV/atom
**Total magnetization**: 0.00 μB per formula unit



Record 8
Density functional theory data (GGA-PBEsol) for ZrIn2Re after structural relaxation. Values from VASP.

```
&SYSTEM
  ibrav = 0, nat = 8, ntyp = 3
/
ATOMIC_SPECIES
Zr 91.22 Zr.upf
In 114.82 In.upf
Re 186.21 Re.upf
ATOMIC_POSITIONS angstrom
Zr 0.000 0.000 0.000
Zr 1.792 2.336 4.596
In 0.000 0.000 4.901
In 0.000 2.336 7.064
In 1.792 0.000 2.468
In 1.792 2.336 0.305
Re 0.000 2.336 2.578
Re 1.792 0.000 7.174
CELL_PARAMETERS angstrom
3.584 0.000 0.000
0.000 4.671 0.000
0.000 0.000 9.192
```

Summary:
**Total energy**: -6.98 eV/atom
**Total magnetization**: 0.00 μB per formula unit



In the order shown, the computed calculated formation energy values come out to 0.07 0.36 0.36 0.38 0.49 0.23 -0.34 0.12 eV/atom.